{"formula": "Mg2UFeO6", "functional": "PBE+U", "state": "optimized geometry", "lattice_angstrom": [[5.384, 0.025, -0.032], [2.714, 4.656, 0.020], [2.670, 1.598, 4.817]], "species": ["O", "O", "O", "O", "O", "O", "Fe", "Mg", "Mg", "U"], "frac_coords": [[0.228, 0.920, 0.246], [0.707, 0.123, 0.764], [0.111, 0.415, 0.757], [0.614, 0.213, 0.257], [0.402, 0.714, 0.766], [0.921, 0.604, 0.248], [0.813, 0.811, 0.561], [0.530, 0.520, 0.424], [0.018, 0.022, 0.945], [0.317, 0.319, 0.046]], "e_tot_ev_per_atom": -7.578, "m_tot_mub_per_cell": 4.00, "sg": "P1"}

{"formula": "MgUFe2O6", "functional": "PBE+U", "state": "optimized geometry", "lattice_angstrom": [[-1.968, 1.309, 4.952], [-1.818, -5.089, 0.623], [6.950, -2.075, 3.331]], "species": ["O", "O", "O", "O", "O", "O", "O", "O", "O", "O", "O", "O", "Fe", "Fe", "Fe", "Fe", "Mg", "Mg", "U", "U"], "frac_coords": [[0.658, 0.318, 0.580], [0.342, 0.682, 0.420], [0.168, 0.172, 0.444], [0.832, 0.828, 0.556], [0.332, 0.672, 0.056], [0.879, 0.594, 0.252], [0.668, 0.328, 0.944], [0.621, 0.094, 0.248], [0.158, 0.182, 0.080], [0.379, 0.906, 0.752], [0.842, 0.818, 0.920], [0.121, 0.406, 0.748], [0.482, 0.533, 0.770], [0.982, 0.967, 0.270], [0.518, 0.467, 0.230], [0.018, 0.033, 0.730], [0.500, 0.000, 0.000], [0.000, 0.500, 0.500], [0.500, 0.000, 0.500], [0.000, 0.500, 0.000]], "e_tot_ev_per_atom": -7.702, "m_tot_mub_per_cell": 16.00, "sg": "P2_1/c"}

{"formula": "Mg6VFeO8", "functional": "PBE+U", "state": "optimized geometry", "lattice_angstrom": [[-3.939, 1.116, -1.378], [0.053, -3.281, -2.808], [-3.500, -5.092, 5.883]], "species": ["O", "O", "O", "O", "O", "O", "O", "O", "V", "Fe", "Mg", "Mg", "Mg", "Mg", "Mg", "Mg"], "frac_coords": [[0.500, 0.500, 0.744], [0.000, 0.000, 0.252], [0.000, 0.000, 0.748], [0.500, 0.000, 0.500], [0.000, 0.500, 0.000], [0.500, 0.500, 0.256], [0.500, 0.000, 0.000], [0.000, 0.500, 0.500], [0.500, 0.500, 0.000], [0.000, 0.000, 0.000], [0.500, 0.000, 0.749], [0.000, 0.500, 0.251], [0.000, 0.000, 0.500], [0.500, 0.500, 0.500], [0.500, 0.000, 0.251], [0.000, 0.500, 0.749]], "relative_energy_ev_per_atom": 0.0000, "e_tot_ev_per_atom": -6.290, "m_tot_mub_per_cell": 7.00, "sg": "P4/mmm"}

{"formula": "MgV2FeO6", "functional": "PBE+U", "state": "optimized geometry", "lattice_angstrom": [[5.628, 0.175, 0.181], [2.019, 6.561, 0.894], [2.019, 0.650, 6.589]], "species": ["O", "O", "O", "O", "O", "O", "O", "O", "O", "O", "O", "O", "Mg", "Mg", "Fe", "Fe", "V", "V", "V", "V"], "frac_coords": [[0.467, 0.318, 0.390], [0.160, 0.034, 0.775], [0.533, 0.682, 0.610], [0.340, 0.225, 0.966], [0.967, 0.390, 0.318], [0.033, 0.610, 0.682], [0.660, 0.775, 0.034], [0.781, 0.023, 0.639], [0.719, 0.361, 0.977], [0.281, 0.639, 0.023], [0.219, 0.977, 0.361], [0.840, 0.966, 0.225], [0.250, 0.313, 0.687], [0.750, 0.687, 0.313], [0.250, 0.932, 0.068], [0.750, 0.068, 0.932], [0.665, 0.636, 0.842], [0.835, 0.158, 0.364], [0.335, 0.364, 0.158], [0.165, 0.842, 0.636]], "e_tot_ev_per_atom": -7.157, "m_tot_mub_per_cell": 12.04, "sg": "C2/c"}

{"formula": "Mg6VFeO8", "functional": "PBE+U", "state": "optimized geometry", "lattice_angstrom": [[-3.402, 2.316, 1.192], [-1.473, -3.328, 2.262], [4.334, 2.796, 6.937]], "species": ["Mg", "Mg", "Mg", "Mg", "Mg", "Mg", "O", "O", "O", "O", "O", "O", "O", "O", "Fe", "V"], "frac_coords": [[0.500, 0.500, 0.500], [0.500, 0.000, 0.750], [0.000, 0.500, 0.250], [0.000, 0.500, 0.750], [0.500, 0.500, 0.000], [0.500, 0.000, 0.250], [0.000, 0.500, 0.500], [0.000, 0.500, 0.000], [0.500, 0.000, 0.000], [0.500, 0.000, 0.500], [0.500, 0.500, 0.249], [0.500, 0.500, 0.751], [0.000, 0.000, 0.251], [0.000, 0.000, 0.749], [0.000, 0.000, 0.000], [0.000, 0.000, 0.500]], "relative_energy_ev_per_atom": 0.0567, "e_tot_ev_per_atom": -6.234, "m_tot_mub_per_cell": 6.95, "sg": "P4/mmm"}

{"formula": "Mg14ZnFeO16", "functional": "PBE+U", "state": "optimized geometry", "lattice_angstrom": [[4.279, 0.000, 0.000], [0.000, 8.518, 0.000], [0.000, 0.000, 8.555]], "species": ["Zn", "Mg", "Mg", "Mg", "Mg", "Mg", "Mg", "Mg", "Mg", "Mg", "Mg", "Mg", "Mg", "Mg", "Mg", "Fe", "O", "O", "O", "O", "O", "O", "O", "O", "O", "O", "O", "O", "O", "O", "O", "O"], "frac_coords": [[0.000, 0.000, 0.000], [0.000, 0.750, 0.251], [0.500, 0.000, 0.750], [0.500, 0.000, 0.250], [0.500, 0.500, 0.250], [0.000, 0.750, 0.749], [0.500, 0.750, 0.500], [0.500, 0.500, 0.750], [0.500, 0.250, 0.000], [0.000, 0.000, 0.500], [0.000, 0.250, 0.749], [0.000, 0.250, 0.251], [0.500, 0.750, 0.000], [0.500, 0.250, 0.500], [0.000, 0.500, 0.500], [0.000, 0.500, 0.000], [0.500, 0.750, 0.249], [0.000, 0.000, 0.747], [0.000, 0.500, 0.743], [0.500, 0.750, 0.751], [0.000, 0.252, 0.000], [0.000, 0.249, 0.500], [0.000, 0.000, 0.253], [0.000, 0.500, 0.257], [0.500, 0.250, 0.751], [0.000, 0.748, 0.000], [0.500, 0.000, 0.500], [0.500, 0.500, 0.500], [0.500, 0.000, 0.000], [0.500, 0.500, 0.000], [0.000, 0.751, 0.500], [0.500, 0.250, 0.249]], "relative_energy_ev_per_atom": 0.0000, "e_tot_ev_per_atom": -5.927, "m_tot_mub_per_cell": 4.01, "sg": "Pmmm"}

{"formula": "Mg30ZnFeO32", "functional": "PBE+U", "state": "optimized geometry", "lattice_angstrom": [[8.513, 0.000, 0.000], [0.000, 8.533, 0.000], [0.000, 0.000, 8.533]], "species": ["Mg", "Mg", "Mg", "Mg", "Mg", "Mg", "Mg", "Mg", "Mg", "Mg", "Mg", "Mg", "Mg", "Mg", "Mg", "Mg", "Mg", "Mg", "Mg", "Mg", "Mg", "Mg", "Mg", "Mg", "Mg", "Mg", "Mg", "Mg", "Mg", "Mg", "O", "O", "O", "O", "O", "O", "O", "O", "O", "O", "O", "O", "O", "O", "O", "O", "O", "O", "O", "O", "O", "O", "O", "O", "O", "O", "O", "O", "O", "O", "O", "O", "Zn", "Fe"], "frac_coords": [[0.500, 0.000, 0.000], [0.500, 0.250, 0.750], [0.000, 0.500, 0.000], [0.250, 0.500, 0.249], [0.250, 0.000, 0.250], [0.250, 0.000, 0.750], [0.750, 0.500, 0.751], [0.750, 0.000, 0.750], [0.500, 0.750, 0.250], [0.750, 0.500, 0.249], [0.250, 0.751, 0.500], [0.500, 0.750, 0.750], [0.000, 0.750, 0.250], [0.000, 0.250, 0.250], [0.500, 0.500, 0.500], [0.250, 0.500, 0.751], [0.000, 0.250, 0.750], [0.750, 0.750, 0.000], [0.500, 0.000, 0.500], [0.000, 0.000, 0.500], [0.250, 0.250, 0.000], [0.750, 0.751, 0.500], [0.750, 0.249, 0.500], [0.500, 0.500, 0.000], [0.250, 0.750, 0.000], [0.750, 0.250, 0.000], [0.250, 0.249, 0.500], [0.750, 0.000, 0.250], [0.000, 0.750, 0.750], [0.500, 0.250, 0.250], [0.254, 0.000, 0.000], [0.750, 0.500, 0.500], [0.749, 0.000, 0.500], [0.250, 0.500, 0.500], [0.251, 0.500, 0.000], [0.000, 0.253, 0.000], [0.750, 0.250, 0.250], [0.500, 0.000, 0.250], [0.250, 0.250, 0.250], [0.000, 0.244, 0.500], [0.500, 0.500, 0.749], [0.500, 0.500, 0.251], [0.250, 0.750, 0.750], [0.750, 0.750, 0.750], [0.251, 0.000, 0.500], [0.749, 0.500, 0.000], [0.500, 0.251, 0.500], [0.500, 0.750, 0.000], [0.000, 0.500, 0.756], [0.746, 0.000, 0.000], [0.000, 0.747, 0.000], [0.000, 0.000, 0.253], [0.250, 0.250, 0.750], [0.000, 0.000, 0.747], [0.750, 0.750, 0.250], [0.500, 0.000, 0.750], [0.000, 0.500, 0.244], [0.500, 0.749, 0.500], [0.500, 0.250, 0.000], [0.750, 0.250, 0.750], [0.000, 0.756, 0.500], [0.250, 0.750, 0.250], [0.000, 0.000, 0.000], [0.000, 0.500, 0.500]], "e_tot_ev_per_atom": -5.956, "m_tot_mub_per_cell": 4.00, "sg": "P4/mmm"}

{"formula": "MgZn2FeO4", "functional": "PBE+U", "state": "optimized geometry", "lattice_angstrom": [[-4.154, -2.187, 0.413], [1.896, -3.889, -1.868], [2.288, 1.618, 4.861]], "species": ["Fe", "Mg", "Zn", "Zn", "O", "O", "O", "O"], "frac_coords": [[0.505, 0.505, 0.011], [0.999, 0.999, 0.997], [0.751, 0.251, 0.501], [0.251, 0.751, 0.501], [0.367, 0.881, 0.248], [0.118, 0.118, 0.748], [0.881, 0.367, 0.248], [0.629, 0.629, 0.748]], "e_tot_ev_per_atom": -5.391, "m_tot_mub_per_cell": 4.00, "sg": "Fmm2"}